A plane-wave DFT calculation with GGA-PBEsol was carried out for a geometry-optimized LaRuBr3 structure.

a b c (Å): 5.764 5.764 5.764
angles (deg): 90.00 90.00 90.00
Each line ends with the local moment (μB).
Element x y z (fractional)
Br  0.000  0.000  0.500  0.03
Br  0.000  0.500  0.000  0.03
Br  0.500  0.000  0.000  0.03
La  0.000  0.000  0.000  -0.01
Ru  0.500  0.500  0.500  2.95

Properties
Total moment in μB/cell: 4.02
Final energy in eV per atom: -4.2139
Uncorrected formation energy in eV/atom: 0.0118
V in Å³/cell: 191.51
Density of states at the Fermi level in states/eV/f.u.: 11.1

***

A plane-wave DFT calculation with GGA-PBEsol was carried out for a geometry-optimized LaRu2Br structure.

a b c (Å): 3.949 3.949 5.432
angles (deg): 111.32 111.32 90.00
Element x y z (fractional)
Ru  0.750  0.250  0.500
Ru  0.000  0.000  0.000
La  0.250  0.750  0.500
Br  0.500  0.500  0.000

Properties
Total moment in μB/cell: 0.00
Final energy in eV per atom: -6.4913
Uncorrected formation energy in eV/atom: 0.3989
V in Å³/cell: 72.67
Density of states at the Fermi level in states/eV/f.u.: 4.5